Density functional theory data (PBE) for a relaxed structure of FeAs2Ru.

The value obtained for the volume is 72.11 Å³/f.u. Its energy above the most stable polymorph in this dataset is 164 meV per atom.

It has space group R3m (No. 160, hexagonal axes), with a = 2.9079 Å, b = 2.9079 Å, c = 29.5401 Å, α = 90.00°, β = 90.00° and γ = 120.00°. Symmetry generates all atoms from Fe at (0.0000, 0.0000, 0.0000), As at (0.0000, 0.0000, 0.2732), As at (0.0000, 0.0000, 0.4658) and Ru at (0.0000, 0.0000, 0.7365).


Density functional theory data (PBE) for a relaxed structure of FeAs2Ru.

The value obtained for the volume is 57.95 Å³/f.u. Its energy above the most stable polymorph in this dataset is 28 meV per atom.

It has space group Pmm2 (No. 25), with a = 2.992 Å, b = 3.726 Å, c = 5.199 Å, α = 90.00°, β = 90.00° and γ = 90.00°. Symmetry generates all atoms from Fe at (0.000, 0.000, 0.000), As at (0.000, 0.000, 0.504), As at (0.500, 0.500, 0.872) and Ru at (0.500, 0.500, 0.345).


Density functional theory data (PBE) for a relaxed structure of FeAsRu2.

The raw total energy comes out at -31.14 eV/f.u. The value obtained for the volume is 55.90 Å³/f.u.

It has space group Immm (No. 71), with a = 2.919 Å, b = 4.387 Å, c = 8.730 Å, α = 90.00°, β = 90.00° and γ = 90.00°. Symmetry generates all atoms from Fe at (0.000, 0.000, 0.000), As at (0.000, 0.000, 0.500) and Ru at (0.000, 0.500, 0.221).


Density functional theory data (PBE) for a relaxed structure of FeAs2Ru.

The value obtained for the volume is 60.69 Å³/f.u. Its energy above the most stable polymorph in this dataset is 482 meV per atom.

It has space group F-43m (No. 216), with a = 6.238 Å, b = 6.238 Å, c = 6.238 Å, α = 90.00°, β = 90.00° and γ = 90.00°. Symmetry generates all atoms from Fe at (0.000, 0.000, 0.000), As at (0.000, 0.000, 0.500), As at (0.250, 0.250, 0.250) and Ru at (0.250, 0.250, 0.750).


Density functional theory data (PBE) for a relaxed structure of FeAsRu2.

The raw total energy comes out at -31.42 eV/f.u. The value obtained for the volume is 55.35 Å³/f.u.

It has space group Cm (No. 8), with a = 8.906 Å, b = 2.954 Å, c = 4.371 Å, α = 90.00°, β = 105.72° and γ = 90.00°. Symmetry generates all atoms from Fe at (0.000, 0.000, 0.000), As at (0.249, 0.000, 0.643), Ru at (0.008, 0.500, 0.504) and Ru at (0.240, 0.500, 0.116).


Density functional theory data (PBE) for a relaxed structure of FeAsRu2.

The raw total energy comes out at -30.67 eV/f.u. The value obtained for the volume is 56.07 Å³/f.u.

It has space group Pmmm (No. 47), with a = 2.912 Å, b = 4.214 Å, c = 4.570 Å, α = 90.00°, β = 90.00° and γ = 90.00°. Symmetry generates all atoms from Fe at (0.000, 0.000, 0.000), As at (0.500, 0.000, 0.500), Ru at (0.000, 0.500, 0.500) and Ru at (0.500, 0.500, 0.000).


Density functional theory data (PBE) for a relaxed structure of FeAs2Ru.

The value obtained for the volume is 55.34 Å³/f.u. Its energy above the most stable polymorph in this dataset is 110 meV per atom.

It has space group P4/mmm (No. 123), with a = 3.030 Å, b = 3.030 Å, c = 6.026 Å, α = 90.00°, β = 90.00° and γ = 90.00°. Symmetry generates all atoms from Fe at (0.000, 0.000, 0.000), As at (0.500, 0.500, 0.237) and Ru at (0.000, 0.000, 0.500).


Density functional theory data (PBE) for a relaxed structure of FeAsRu4.

The raw total energy comes out at -46.03 eV/f.u. The value obtained for the volume is 94.31 Å³/f.u.

It has space group F-43m (No. 216), with a = 7.225 Å, b = 7.225 Å, c = 7.225 Å, α = 90.00°, β = 90.00° and γ = 90.00°. Symmetry generates all atoms from Fe at (0.000, 0.000, 0.000), As at (0.250, 0.250, 0.250) and Ru at (0.125, 0.125, 0.625).


Density functional theory data (PBE) for a relaxed structure of Fe2SnAsRu.

The raw total energy comes out at -31.97 eV/f.u. The value obtained for the volume is 91.40 Å³/f.u.

It has space group P4/mmm (No. 123), with a = 4.415 Å, b = 4.415 Å, c = 4.690 Å, α = 90.00°, β = 90.00° and γ = 90.00°. Symmetry generates all atoms from Fe at (0.000, 0.500, 0.000), Sn at (0.000, 0.000, 0.500), As at (0.500, 0.500, 0.000) and Ru at (0.500, 0.500, 0.500).


Density functional theory data (PBE) for a relaxed structure of FeTcAsRu.

The raw total energy comes out at -32.75 eV/f.u. The value obtained for the volume is 54.73 Å³/f.u.

It has space group F-43m (No. 216), with a = 6.027 Å, b = 6.027 Å, c = 6.027 Å, α = 90.00°, β = 90.00° and γ = 90.00°. Symmetry generates all atoms from Fe at (0.000, 0.000, 0.000), Tc at (0.250, 0.250, 0.750), As at (0.000, 0.000, 0.500) and Ru at (0.250, 0.250, 0.250).


Density functional theory data (PBE) for a relaxed structure of ThFeAs2Ru.

The raw total energy comes out at -37.62 eV/f.u. The value obtained for the volume is 88.11 Å³/f.u.

It has space group I-4m2 (No. 119), with a = 4.125 Å, b = 4.125 Å, c = 10.354 Å, α = 90.00°, β = 90.00° and γ = 90.00°. Symmetry generates all atoms from Th at (0.000, 0.000, 0.000), Fe at (0.000, 0.500, 0.250), As at (0.000, 0.000, 0.369) and Ru at (0.000, 0.500, 0.750).


Density functional theory data (PBE) for a relaxed structure of UFeAs2Ru2.

The raw total energy comes out at -49.44 eV/f.u. The value obtained for the volume is 97.85 Å³/f.u.

It has space group Pmc2_1 (No. 26), with a = 3.847 Å, b = 6.446 Å, c = 7.892 Å, α = 90.00°, β = 90.00° and γ = 90.00°. Symmetry generates all atoms from U at (0.000, 0.152, 0.000), Fe at (0.500, 0.148, 0.413), As at (0.000, 0.341, 0.324), As at (0.500, 0.118, 0.710), Ru at (0.000, 0.349, 0.635) and Ru at (0.500, 0.424, 0.908).


Density functional theory data (PBE) for a relaxed structure of FeAs3S.

The value obtained for the volume is 106.91 Å³/f.u. Its energy above the most stable polymorph in this dataset is 563 meV per atom. For the formation energy (no corrections), the calculation gives 1.04 eV/atom.

It has space group Pm-3m (No. 221), with a = 4.746 Å, b = 4.746 Å, c = 4.746 Å, α = 90.00°, β = 90.00° and γ = 90.00°. Symmetry generates all atoms from Fe at (0.000, 0.000, 0.000), As at (0.000, 0.500, 0.500) and S at (0.500, 0.500, 0.500).


Density functional theory data (PBE) for a relaxed structure of FeAs3S.

The value obtained for the volume is 94.59 Å³/f.u. Its energy above the most stable polymorph in this dataset is 0 meV per atom. For the formation energy (no corrections), the calculation gives 0.48 eV/atom.

It has space group Pm-3m (No. 221), with a = 4.556 Å, b = 4.556 Å, c = 4.556 Å, α = 90.00°, β = 90.00° and γ = 90.00°. Symmetry generates all atoms from Fe at (0.000, 0.000, 0.000), As at (0.000, 0.000, 0.500) and S at (0.500, 0.500, 0.500).


Density functional theory data (PBE) for a relaxed structure of FeAsS.

The value obtained for the volume is 43.36 Å³/f.u. For the formation energy (no corrections), the calculation gives -0.45 eV/atom.

It has space group P2_1/c (No. 14), with a = 5.736 Å, b = 5.665 Å, c = 5.758 Å, α = 90.00°, β = 112.02° and γ = 90.00°. Symmetry generates all atoms from Fe at (0.212, 0.009, 0.203), As at (0.354, 0.632, 0.128) and S at (0.152, 0.133, 0.823).


Density functional theory data (PBE) for a relaxed structure of FeAs2S.

The value obtained for the volume is 82.68 Å³/f.u. For the formation energy (no corrections), the calculation gives 0.26 eV/atom.

It has space group I-42d (No. 122), with a = 5.589 Å, b = 5.589 Å, c = 10.588 Å, α = 90.00°, β = 90.00° and γ = 90.00°. Symmetry generates all atoms from Fe at (0.000, 0.000, 0.000), As at (0.198, 0.250, 0.125) and S at (0.000, 0.000, 0.500).


Density functional theory data (PBE) for a relaxed structure of Fe2As2S.

The value obtained for the volume is 77.04 Å³/f.u. Its energy above the most stable polymorph in this dataset is 0 meV per atom. For the formation energy (no corrections), the calculation gives 0.29 eV/atom.

It has space group I4/mmm (No. 139), with a = 4.078 Å, b = 4.078 Å, c = 9.265 Å, α = 90.00°, β = 90.00° and γ = 90.00°. Symmetry generates all atoms from Fe at (0.000, 0.500, 0.250), As at (0.000, 0.000, 0.132) and S at (0.000, 0.000, 0.500).


Density functional theory data (PBE) for a relaxed structure of FeAs2S2.

The value obtained for the volume is 101.24 Å³/f.u. Its energy above the most stable polymorph in this dataset is 0 meV per atom. For the formation energy (no corrections), the calculation gives 0.52 eV/atom.

It has space group I4/mmm (No. 139), with a = 5.121 Å, b = 5.121 Å, c = 7.720 Å, α = 90.00°, β = 90.00° and γ = 90.00°. Symmetry generates all atoms from Fe at (0.000, 0.000, 0.000), As at (0.000, 0.000, 0.312) and S at (0.000, 0.500, 0.250).


Density functional theory data (PBE) for a relaxed structure of Fe2AsS3.

The value obtained for the volume is 85.92 Å³/f.u. For the formation energy (no corrections), the calculation gives -0.42 eV/atom.

It has space group Pm (No. 6), with a = 4.668 Å, b = 3.315 Å, c = 5.558 Å, α = 90.00°, β = 92.29° and γ = 90.00°. Symmetry generates all atoms from Fe at (0.000, 0.000, 0.000), Fe at (0.480, 0.500, 0.515), As at (0.795, 0.000, 0.373), S at (0.188, 0.000, 0.641), S at (0.284, 0.500, 0.139) and S at (0.702, 0.500, 0.877).


Density functional theory data (PBE) for a relaxed structure of Fe2As2S.

The value obtained for the volume is 70.68 Å³/f.u. Its energy above the most stable polymorph in this dataset is 191 meV per atom. For the formation energy (no corrections), the calculation gives 0.48 eV/atom.

It has space group P4/mbm (No. 127), with a = 7.169 Å, b = 7.169 Å, c = 2.750 Å, α = 90.00°, β = 90.00° and γ = 90.00°. Symmetry generates all atoms from Fe at (0.138, 0.362, 0.000), As at (0.149, 0.649, 0.500) and S at (0.000, 0.000, 0.500).


Density functional theory data (PBE) for a relaxed structure of FeAs2S2.

The value obtained for the volume is 89.93 Å³/f.u. Its energy above the most stable polymorph in this dataset is 13 meV per atom. For the formation energy (no corrections), the calculation gives 0.53 eV/atom.

It has space group P4/mbm (No. 127), with a = 6.291 Å, b = 6.291 Å, c = 4.544 Å, α = 90.00°, β = 90.00° and γ = 90.00°. Symmetry generates all atoms from Fe at (0.000, 0.000, 0.000), As at (0.147, 0.353, 0.000) and S at (0.237, 0.263, 0.500).


Density functional theory data (PBE) for a relaxed structure of UFeAsS.

The value obtained for the volume is 69.56 Å³/f.u. For the formation energy (no corrections), the calculation gives -0.73 eV/atom.

It has space group P4/nmm (No. 129, origin choice 2), with a = 4.194 Å, b = 4.194 Å, c = 7.908 Å, α = 90.00°, β = 90.00° and γ = 90.00°. Symmetry generates all atoms from U at (0.250, 0.250, 0.224), Fe at (0.250, 0.750, 0.500), As at (0.250, 0.250, 0.653) and S at (0.250, 0.750, 0.000).


Density functional theory data (PBE) for a relaxed structure of Fe2SbAs.

The value obtained for the volume is 71.85 Å³/f.u. For the formation energy (no corrections), the calculation gives 0.05 eV/atom.

It has space group P4mm (No. 99), with a = 3.102 Å, b = 3.102 Å, c = 7.469 Å, α = 90.00°, β = 90.00° and γ = 90.00°. Symmetry generates all atoms from Fe at (0.000, 0.000, 0.000), Fe at (0.500, 0.500, 0.166), Sb at (0.000, 0.000, 0.398) and As at (0.500, 0.500, 0.824).


Density functional theory data (PBE) for a relaxed structure of FeSb2As.

The value obtained for the volume is 85.03 Å³/f.u. For the formation energy (no corrections), the calculation gives 0.57 eV/atom.

It has space group F-43m (No. 216), with a = 6.980 Å, b = 6.980 Å, c = 6.980 Å, α = 90.00°, β = 90.00° and γ = 90.00°. Symmetry generates all atoms from Fe at (0.000, 0.000, 0.000), Sb at (0.000, 0.000, 0.500), Sb at (0.250, 0.250, 0.250) and As at (0.250, 0.250, 0.750).


Density functional theory data (PBE) for a relaxed structure of FeSbAs4.

The value obtained for the volume is 123.11 Å³/f.u. For the formation energy (no corrections), the calculation gives 0.69 eV/atom.

It has space group F-43m (No. 216), with a = 7.897 Å, b = 7.897 Å, c = 7.897 Å, α = 90.00°, β = 90.00° and γ = 90.00°. Symmetry generates all atoms from Fe at (0.000, 0.000, 0.000), Sb at (0.250, 0.250, 0.750) and As at (0.126, 0.126, 0.374).


Density functional theory data (PBE) for a relaxed structure of FeSbAs2.

The value obtained for the volume is 98.48 Å³/f.u. For the formation energy (no corrections), the calculation gives 0.19 eV/atom.

It has space group I-42d (No. 122), with a = 5.805 Å, b = 5.805 Å, c = 11.688 Å, α = 90.00°, β = 90.00° and γ = 90.00°. Symmetry generates all atoms from Fe at (0.000, 0.000, 0.000), Sb at (0.000, 0.000, 0.500) and As at (0.183, 0.250, 0.125).


Density functional theory data (PBE) for a relaxed structure of Fe2SbAs.

The value obtained for the volume is 60.67 Å³/f.u. For the formation energy (no corrections), the calculation gives 0.28 eV/atom.

It has space group Fm-3m (No. 225), with a = 6.237 Å, b = 6.237 Å, c = 6.237 Å, α = 90.00°, β = 90.00° and γ = 90.00°. Symmetry generates all atoms from Fe at (0.250, 0.250, 0.250), Sb at (0.000, 0.000, 0.000) and As at (0.000, 0.000, 0.500).